[1]
The following is a PBE-GGA calculation of a relaxed structure of Pu3Tl3ZnSe8, from Alexandria via LeMat-Bulk.

Cell and atoms, written as POSCAR:
```
Pu3Tl3ZnSe8
1.0
7.172 -4.097 0.000
7.172 4.097 0.000
-4.809 0.000 7.779
Pu Tl Zn Se
3 3 1 8
direct
0.000 0.000 0.000
0.000 0.500 0.000
0.500 0.000 0.000
0.000 0.500 0.500
0.500 0.000 0.500
0.500 0.500 0.500
0.500 0.500 0.000
0.235 0.235 0.205
0.246 0.721 0.191
0.262 0.262 0.798
0.279 0.754 0.809
0.721 0.246 0.191
0.738 0.738 0.202
0.754 0.279 0.809
0.765 0.765 0.795
```

space group: C2/m
raw formation energy: -919 meV/atom

[2]
The following is a PBE-GGA calculation of a relaxed structure of PmTmPuTh, from Alexandria via LeMat-Bulk.

Cell and atoms, written as POSCAR:
```
PmTmPuTh
1.0
0.000 3.955 3.955
3.955 0.000 3.955
3.955 3.955 0.000
Pm Tm Pu Th
1 1 1 1
direct
0.000 0.000 0.000
0.750 0.750 0.750
0.500 0.500 0.500
0.250 0.250 0.250
```

space group: F-43m
final energy: -7.5073 eV/atom

[3]
The following is a PBE-GGA calculation of a relaxed structure of Ac4YTh3As8, from Alexandria via LeMat-Bulk.

Cell and atoms, written as POSCAR:
```
Ac4YTh3As8
1.0
4.362 2.519 7.202
-4.362 2.519 7.202
0.000 -5.037 7.202
Ac Y Th As
4 1 3 8
direct
0.000 0.000 0.000
0.000 0.500 0.500
0.500 0.000 0.500
0.500 0.500 0.000
0.500 0.500 0.500
0.000 0.000 0.500
0.000 0.500 0.000
0.500 0.000 0.000
0.244 0.244 0.244
0.245 0.742 0.742
0.258 0.258 0.755
0.258 0.755 0.258
0.742 0.245 0.742
0.742 0.742 0.245
0.755 0.258 0.258
0.756 0.756 0.756
```

space group: R-3m
final energy: -6.6076 eV/atom

Ordered spin magnetization results: 13.0 8.0 0.0; unit μB/f.u..